No. 1
# Ca4ReTc GGA-PBEsol optimized geometry
data_Ca4ReTc
_chemical_formula_sum 'Ca16 Re4 Tc4'
_symmetry_space_group_name_H-M 'F -4 3 m'
_symmetry_Int_Tables_number 216
_symmetry_space_group_name_Hall 'F -4 2 3'
_cell_length_a 8.101
_cell_length_b 8.101
_cell_length_c 8.101
_cell_angle_alpha 90.00
_cell_angle_beta 90.00
_cell_angle_gamma 90.00
loop_
_atom_site_label
_atom_site_type_symbol
_atom_site_fract_x
_atom_site_fract_y
_atom_site_fract_z
Ca1 Ca 0.125 0.125 0.125
Re1 Re 0.250 0.250 0.750
Tc1 Tc 0.000 0.000 0.500
# Energy of formation, meV/atom: 1618
# Fermi-level density of states, states/eV per cell: 38.9

No. 2
# LiFeSi2O6 GGA-PBEsol optimized geometry
data_LiFeSi2O6
_chemical_formula_sum 'Li2 Fe2 Si4 O12'
_symmetry_space_group_name_H-M 'C 2 2 2'
_symmetry_Int_Tables_number 21
_cell_length_a 5.320
_cell_length_b 9.312
_cell_length_c 5.566
_cell_angle_alpha 90.00
_cell_angle_beta 90.00
_cell_angle_gamma 90.00
loop_
_symmetry_equiv_pos_as_xyz
'x,y,z'
'-x,-y,z'
'x,-y,-z'
'-x,y,-z'
'x+1/2,y+1/2,z'
'-x+1/2,-y+1/2,z'
'x+1/2,-y+1/2,-z'
'-x+1/2,y+1/2,-z'
loop_
_atom_site_label
_atom_site_type_symbol
_atom_site_fract_x
_atom_site_fract_y
_atom_site_fract_z
Li1 Li 0.000 0.000 0.000
Fe1 Fe 0.000 0.500 0.000
Si1 Si 0.250 0.250 0.335
O1 O 0.000 0.240 0.500
O2 O 0.238 0.394 0.168
# ΔE_f (raw), kJ/mol of atoms: -222

No. 3
# SrSb2Ir GGA-PBEsol optimized geometry
data_SrSb2Ir
_chemical_formula_sum 'Sr2 Sb4 Ir2'
_symmetry_space_group_name_H-M 'I m m 2'
_symmetry_Int_Tables_number 44
_cell_length_a 3.549
_cell_length_b 3.880
_cell_length_c 14.700
_cell_angle_alpha 90.00
_cell_angle_beta 90.00
_cell_angle_gamma 90.00
loop_
_symmetry_equiv_pos_as_xyz
'x,y,z'
'-x,-y,z'
'-x,y,z'
'x,-y,z'
'x+1/2,y+1/2,z+1/2'
'-x+1/2,-y+1/2,z+1/2'
'-x+1/2,y+1/2,z+1/2'
'x+1/2,-y+1/2,z+1/2'
loop_
_atom_site_label
_atom_site_type_symbol
_atom_site_fract_x
_atom_site_fract_y
_atom_site_fract_z
Sr1 Sr 0.000 0.000 0.000
Sb1 Sb 0.000 0.000 0.635
Sb2 Sb 0.000 0.500 0.825
Ir1 Ir 0.000 0.500 0.267
# ΔE_f (raw), kJ/mol of atoms: -26
# Fermi-level density of states, states/eV per cell: 4.0

No. 4
# CaZnCu GGA-PBEsol optimized geometry
data_CaZnCu
_chemical_formula_sum 'Ca1 Zn1 Cu1'
_symmetry_space_group_name_H-M 'P -6 m 2'
_symmetry_Int_Tables_number 187
_symmetry_space_group_name_Hall 'P -6 2'
_cell_length_a 4.2801
_cell_length_b 4.2801
_cell_length_c 3.7422
_cell_angle_alpha 90.00
_cell_angle_beta 90.00
_cell_angle_gamma 120.00
loop_
_atom_site_label
_atom_site_type_symbol
_atom_site_fract_x
_atom_site_fract_y
_atom_site_fract_z
Ca1 Ca 0.0000 0.0000 0.0000
Zn1 Zn 0.6667 0.3333 0.5000
Cu1 Cu 0.3333 0.6667 0.5000
# Energy of formation, meV/atom: -158
# Fermi-level density of states, states/eV per cell: 1.4

M_tot across the listed records, respectively: 2.0 5.0 0.0 0.0 μB per formula unit.